Computed, not measured: a relaxed structure of BaSrMgSi at the PBE level of DFT.

Cell lengths 8.066, 8.066, 8.066 Å; angles 90.00, 90.00, 90.00 degrees
Space group F-43m (No. 216)
Unique sites:
Ba (0.000, 0.000, 0.000) (multiplicity 4)
Sr (0.000, 0.000, 0.500) (multiplicity 4)
Mg (0.250, 0.250, 0.750) (multiplicity 4)
Si (0.250, 0.250, 0.250) (multiplicity 4)

Calculated values
V: 524.7 Å³/cell
ΔE_f (raw): -0.130 eV/atom

---

Computed, not measured: a relaxed structure of Mo2WSe at the PBE level of DFT.

Cell lengths 3.0336, 3.0336, 25.1364 Å; angles 90.00, 90.00, 120.00 degrees
Space group R3m (No. 160, hexagonal axes)
Unique sites:
Mo (0.0000, 0.0000, 0.0000) (multiplicity 3)
Mo (0.0000, 0.0000, 0.2573) (multiplicity 3)
W (0.0000, 0.0000, 0.7556) (multiplicity 3)
Se (0.0000, 0.0000, 0.4987) (multiplicity 3)

Calculated values
V: 200.3 Å³/cell
ΔE_f (raw): 0.366 eV/atom

---

Computed, not measured: a relaxed structure of KLiV2 at the PBE level of DFT.

Cell lengths 7.391, 7.391, 7.391 Å; angles 90.00, 90.00, 90.00 degrees
Space group Fm-3m (No. 225)
Unique sites:
K (0.000, 0.000, 0.000) (multiplicity 4)
Li (0.000, 0.000, 0.500) (multiplicity 4)
V (0.250, 0.250, 0.250) (multiplicity 8)

Calculated values
V: 403.8 Å³/cell
relative energy among the computed polymorphs: 1.017 eV per formula unit
DFT formation energy: 35.031 kcal/mol of atoms

---

Computed, not measured: a relaxed structure of LiSiGe3 at the PBE level of DFT.

Cell lengths 4.579, 4.579, 4.579 Å; angles 90.00, 90.00, 90.00 degrees
Space group Pm-3m (No. 221)
Unique sites:
Li (0.000, 0.000, 0.000) (multiplicity 1)
Si (0.500, 0.500, 0.500) (multiplicity 1)
Ge (0.000, 0.000, 0.500) (multiplicity 3)

Calculated values
V: 96.0 Å³/cell
relative energy among the computed polymorphs: 0.923 eV per formula unit
ΔE_f (raw): 0.663 eV/atom

---

Computed, not measured: a relaxed structure of RbNi4Br2 at the PBE level of DFT.

Cell lengths 4.746, 4.746, 15.557 Å; angles 90.00, 90.00, 90.00 degrees
Space group I4/mmm (No. 139)
Unique sites:
Rb (0.000, 0.000, 0.000) (multiplicity 2)
Ni (0.000, 0.000, 0.254) (multiplicity 4)
Ni (0.000, 0.500, 0.000) (multiplicity 4)
Br (0.000, 0.000, 0.397) (multiplicity 4)

Calculated values
V: 350.4 Å³/cell
ΔE_f (raw): 1.355 eV/atom

---

Computed, not measured: a relaxed structure of SiSn2Se4 at the PBE level of DFT.

Cell lengths 7.065, 6.841, 8.666 Å; angles 90.00, 107.18, 90.00 degrees
Space group P2_1/m (No. 11)
Unique sites:
Si (0.203, 0.250, 0.287) (multiplicity 2)
Sn (0.211, 0.750, 0.055) (multiplicity 2)
Sn (0.294, 0.750, 0.566) (multiplicity 2)
Se (0.016, 0.005, 0.780) (multiplicity 4)
Se (0.373, 0.250, 0.557) (multiplicity 2)
Se (0.422, 0.250, 0.138) (multiplicity 2)

Calculated values
V: 400.2 Å³/cell
relative energy among the computed polymorphs: 0.000 eV per formula unit
ΔE_f (raw): -0.407 eV/atom

---

Computed, not measured: a relaxed structure of ScInAu2 at the PBE level of DFT.

Cell lengths 3.485, 4.478, 5.574 Å; angles 90.00, 108.08, 90.00 degrees
Space group Pm (No. 6)
Unique sites:
Sc (0.000, 0.000, 0.000) (multiplicity 1)
In (0.298, 0.500, 0.600) (multiplicity 1)
Au (0.562, 0.500, 0.125) (multiplicity 1)
Au (0.730, 0.000, 0.461) (multiplicity 1)

Calculated values
V: 82.7 Å³/cell
DFT formation energy: -11.678 kcal/mol of atoms

---

Computed, not measured: a relaxed structure of Nd2TiBiO6 at the PBE level of DFT.

Cell lengths 5.439, 5.439, 5.504 Å; angles 90.00, 90.00, 90.00 degrees
Space group P4mm (No. 99)
Unique sites:
Nd (0.000, 0.500, 0.000) (multiplicity 2)
Ti (0.000, 0.000, 0.616) (multiplicity 1)
Bi (0.500, 0.500, 0.524) (multiplicity 1)
O (0.000, 0.000, 0.284) (multiplicity 1)
O (0.232, 0.232, 0.757) (multiplicity 4)
O (0.500, 0.500, 0.119) (multiplicity 1)

Calculated values
V: 162.8 Å³/cell
ΔE_f (raw): -2.527 eV/atom

---

Computed, not measured: a relaxed structure of Al2ReSb at the PBE level of DFT.

Cell lengths 3.529, 4.610, 8.393 Å; angles 90.00, 90.00, 90.00 degrees
Space group Imm2 (No. 44)
Unique sites:
Al (0.000, 0.000, 0.000) (multiplicity 2)
Al (0.000, 0.500, 0.261) (multiplicity 2)
Re (0.000, 0.000, 0.520) (multiplicity 2)
Sb (0.000, 0.500, 0.754) (multiplicity 2)

Calculated values
V: 136.5 Å³/cell
ΔE_f (raw): 0.331 eV/atom

---

Computed, not measured: a relaxed structure of BeHg3N at the PBE level of DFT.

Cell lengths 4.841, 4.841, 4.841 Å; angles 90.00, 90.00, 90.00 degrees
Space group Pm-3m (No. 221)
Unique sites:
Be (0.000, 0.000, 0.000) (multiplicity 1)
Hg (0.000, 0.000, 0.500) (multiplicity 3)
N (0.500, 0.500, 0.500) (multiplicity 1)

Calculated values
V: 113.5 Å³/cell
relative energy among the computed polymorphs: 0.000 eV per formula unit
ΔE_f (raw): 1.108 eV/atom

---

Computed, not measured: a relaxed structure of Sr3Zn2Hg4 at the PBE level of DFT.

Cell lengths 11.793, 4.866, 9.517 Å; angles 90.00, 111.59, 90.00 degrees
Space group C2/m (No. 12)
Unique sites:
Sr (0.000, 0.000, 0.000) (multiplicity 2)
Sr (0.163, 0.500, 0.667) (multiplicity 4)
Zn (0.113, 0.500, 0.283) (multiplicity 4)
Hg (0.063, 0.000, 0.386) (multiplicity 4)
Hg (0.216, 0.500, 0.065) (multiplicity 4)

Calculated values
V: 507.8 Å³/cell
DFT formation energy: -9.702 kcal/mol of atoms

---

Computed, not measured: a relaxed structure of Ca2ScMn at the PBE level of DFT.

Cell lengths 4.690, 4.721, 5.034 Å; angles 90.00, 90.00, 90.00 degrees
Space group Pmmm (No. 47)
Unique sites:
Ca (0.000, 0.000, 0.000) (multiplicity 1)
Ca (0.500, 0.500, 0.000) (multiplicity 1)
Sc (0.000, 0.500, 0.500) (multiplicity 1)
Mn (0.500, 0.000, 0.500) (multiplicity 1)

Calculated values
V: 111.5 Å³/cell
relative energy among the computed polymorphs: 0.959 eV per formula unit
DFT formation energy: 10.036 kcal/mol of atoms